A plane-wave DFT calculation with PBE was carried out for a geometry-optimized Rb2CaPb structure.

a b c (Å): 9.884 9.884 9.884
angles (deg): 95.58 95.58 143.66
Fractional coordinates of all 8 atoms:
Rb (0.375, 0.237, 0.362)
Rb (0.763, 0.125, 0.138)
Rb (0.875, 0.013, 0.638)
Rb (0.987, 0.625, 0.862)
Ca (0.250, 0.750, 0.500)
Ca (0.500, 0.500, 0.000)
Pb (0.000, 0.000, 0.000)
Pb (0.750, 0.250, 0.500)

DFT formation energy = 0.049 eV per atom
Total moment = 0.0 μB per formula unit